A plane-wave DFT calculation with SCAN was carried out for a crystal of Fe2NiMo relaxed with PBEsol.

Values from the calculation:
* energy of formation from the pure elements: 0.083 eV/atom
* energy: -21.75 eV per atom
* density: 9.61 g/cm³

Unit cell a=4.371 b=4.371 c=4.371 alpha=131.39 beta=131.39 gamma=71.19
Element x y z (fractional)
Fe 0.000 0.000 0.000
Fe 0.750 0.250 0.500
Ni 0.500 0.500 0.000
Mo 0.250 0.750 0.500